[1]
First-principles (PBE) data for an optimized crystal structure of NdBe3Rh3, as listed in the Alexandria database.

Geometry as POSCAR:
```
NdBe3Rh3
1.0
6.046 0.000 0.000
0.000 6.046 0.000
0.000 0.000 6.046
Rh Nd Be
6 2 6
Direct
0.500 0.000 0.250 Rh
0.500 0.000 0.750 Rh
0.250 0.500 0.000 Rh
0.000 0.750 0.500 Rh
0.000 0.250 0.500 Rh
0.750 0.500 0.000 Rh
0.500 0.500 0.500 Nd
0.000 0.000 0.000 Nd
0.500 0.250 0.000 Be
0.750 0.000 0.500 Be
0.000 0.500 0.750 Be
0.500 0.750 0.000 Be
0.000 0.500 0.250 Be
0.250 0.000 0.500 Be
```

* Fermi-level density of states: 3.308 states/eV/f.u.
* energy of formation from the pure elements: -6.43 kcal/mol of atoms
* space-group type: Pm-3n, No. 223

[2]
First-principles (PBE) data for an optimized crystal structure of Nd2Be4Si3Rh, as listed in the Alexandria database.

Geometry as POSCAR:
```
Nd2Be4Si3Rh
1.0
-0.162 -1.653 3.567
-0.663 -3.507 -1.656
9.695 -1.674 -0.335
Rh Si Be Nd
1 3 4 2
Direct
0.500 0.500 0.500 Rh
0.500 0.000 0.870 Si
0.000 0.500 0.130 Si
0.000 0.000 0.500 Si
0.000 0.000 0.000 Be
0.500 0.500 0.000 Be
0.500 0.000 0.628 Be
0.000 0.500 0.372 Be
0.500 0.000 0.245 Nd
0.000 0.500 0.755 Nd
```

* Fermi-level density of states: 5.996 states/eV/f.u.
* uncorrected energy: -5.302 eV per atom
* space-group type: P-4m2, No. 115

[3]
First-principles (PBE) data for an optimized crystal structure of Nd2BeSi2Rh5, as listed in the Alexandria database.

Geometry as POSCAR:
```
Nd2BeSi2Rh5
1.0
3.386 0.000 0.000
0.000 9.888 0.000
0.000 0.000 9.888
Rh Be Nd Si
10 2 4 4
Direct
0.500 0.707 0.435 Rh
0.500 0.935 0.207 Rh
0.500 0.500 0.000 Rh
0.500 0.065 0.793 Rh
0.500 0.565 0.707 Rh
0.500 0.000 0.500 Rh
0.500 0.293 0.565 Rh
0.500 0.435 0.293 Rh
0.500 0.207 0.065 Rh
0.500 0.793 0.935 Rh
0.000 0.000 0.000 Be
0.000 0.500 0.500 Be
0.000 0.175 0.325 Nd
0.000 0.825 0.675 Nd
0.000 0.325 0.825 Nd
0.000 0.675 0.175 Nd
0.000 0.875 0.375 Si
0.000 0.625 0.875 Si
0.000 0.375 0.125 Si
0.000 0.125 0.625 Si
```

* Fermi-level density of states: 2.265 states/eV/f.u.
* uncorrected energy: -6.801 eV per atom
* space-group type: P4/mbm, No. 127

[4]
First-principles (PBE) data for an optimized crystal structure of NdTiBeRh2, as listed in the Alexandria database.

Geometry as POSCAR:
```
NdTiBeRh2
1.0
-0.761 1.914 3.355
-2.529 -2.832 1.042
5.880 -2.375 0.379
Rh Be Nd Ti
2 1 1 1
Direct
0.620 0.620 0.241 Rh
0.380 0.380 0.759 Rh
0.750 0.250 0.500 Be
0.000 0.000 0.000 Nd
0.250 0.750 0.500 Ti
```

* Fermi-level density of states: 3.167 states/eV/f.u.
* energy of formation from the pure elements: -13.60 kcal/mol of atoms
* space-group type: I-4m2, No. 119

[5]
First-principles (PBE) data for an optimized crystal structure of Nd2BeZnRh2, as listed in the Alexandria database.

Geometry as POSCAR:
```
Nd2BeZnRh2
1.0
-1.979 0.672 5.539
-1.889 -5.393 -0.021
8.066 0.204 -0.306
Zn Nd Rh Be
2 4 4 2
Direct
0.000 0.750 0.000 Zn
0.000 0.250 0.000 Zn
0.930 0.666 0.331 Nd
0.402 0.166 0.331 Nd
0.598 0.834 0.669 Nd
0.070 0.334 0.669 Nd
0.187 0.895 0.791 Rh
0.604 0.395 0.791 Rh
0.813 0.105 0.209 Rh
0.396 0.605 0.209 Rh
0.500 0.750 0.000 Be
0.500 0.250 0.000 Be
```

* Fermi-level density of states: 3.606 states/eV/f.u.
* energy of formation from the pure elements: -12.13 kcal/mol of atoms
* space-group type: Ibam, No. 72

[6]
First-principles (PBE) data for an optimized crystal structure of NdBeZn2Rh2, as listed in the Alexandria database.

Geometry as POSCAR:
```
NdBeZn2Rh2
1.0
-0.099 -0.788 -4.197
4.230 -0.595 0.012
-0.767 -5.430 1.037
Nd Be Rh Zn
1 1 2 2
Direct
0.000 0.000 0.500 Nd
0.000 0.000 0.000 Be
0.000 0.500 0.000 Rh
0.500 0.000 0.000 Rh
0.500 0.500 0.732 Zn
0.500 0.500 0.268 Zn
```

* Fermi-level density of states: 3.651 states/eV/f.u.
* energy of formation from the pure elements: -10.75 kcal/mol of atoms
* space-group type: P4/mmm, No. 123

| no. | calculated density (g/cm³) |
| --- | --- |
| 1 | 7.21 |
| 2 | 5.58 |
| 3 | 8.71 |
| 4 | 7.63 |
| 5 | 8.04 |
| 6 | 7.99 |